Pm2CoGe4Pd3: relaxed, PBE-GGA.

Output
**Energy of formation from the pure elements**: -70 kJ per mole of atoms

Cell and atoms, written as CIF:
```
data_Pm2CoGe4Pd3
_symmetry_space_group_name_H-M 'P -4 m 2'
_symmetry_Int_Tables_number 115
_cell_length_a 4.241
_cell_length_b 4.241
_cell_length_c 10.351
_cell_angle_alpha 90.00
_cell_angle_beta 90.00
_cell_angle_gamma 90.00
loop_
_symmetry_equiv_pos_as_xyz
'x,y,z'
'y,-x,-z'
'-x,-y,z'
'-y,x,-z'
'-x,y,z'
'-y,-x,-z'
'x,-y,z'
'y,x,-z'
loop_
_atom_site_label
_atom_site_fract_x
_atom_site_fract_y
_atom_site_fract_z
Pm1 0.000 0.500 0.245
Co1 0.500 0.500 0.000
Ge1 0.000 0.000 0.500
Ge2 0.000 0.500 0.876
Ge3 0.500 0.500 0.500
Pd1 0.000 0.000 0.000
Pd2 0.000 0.500 0.637
```

PmCoGe2Pd: relaxed, PBE-GGA.

Output
**Energy of formation from the pure elements**: -65 kJ per mole of atoms

Cell and atoms, written as CIF:
```
data_PmCoGe2Pd
_symmetry_space_group_name_H-M 'I -4 m 2'
_symmetry_Int_Tables_number 119
_symmetry_space_group_name_Hall 'I -4 -2'
_cell_length_a 4.172
_cell_length_b 4.172
_cell_length_c 10.280
_cell_angle_alpha 90.00
_cell_angle_beta 90.00
_cell_angle_gamma 90.00
loop_
_atom_site_label
_atom_site_fract_x
_atom_site_fract_y
_atom_site_fract_z
Pm1 0.000 0.000 0.000
Co1 0.000 0.500 0.250
Ge1 0.000 0.000 0.376
Pd1 0.000 0.500 0.750
```